[1]
# Li3PuU2N6, optimized geometry, DFT GGA-PBE
# - E_form (uncorrected): -1.058 eV/atom
# - Total magnetization: 5.03 μB per formula unit
# - Theoretical density: 8.65 g cm⁻³
# - Raw total energy: -210.600 eV/cell
data_Li3PuU2N6
_chemical_formula_sum 'Li6 Pu2 U4 N12'
_cell_length_a 14.369
_cell_length_b 3.479
_cell_length_c 6.369
_cell_angle_alpha 90.00
_cell_angle_beta 96.12
_cell_angle_gamma 90.00
_space_group_name_H-M_alt 'C 1 2/m 1'
_space_group_IT_number 12
loop_
_space_group_symop_operation_xyz
'x,y,z'
'-x,-y,-z'
'-x,y,-z'
'x,-y,z'
'x+1/2,y+1/2,z'
'-x+1/2,-y+1/2,-z'
'-x+1/2,y+1/2,-z'
'x+1/2,-y+1/2,z'
loop_
_atom_site_label
_atom_site_fract_x
_atom_site_fract_y
_atom_site_fract_z
_atom_site_occupancy
Li1 0.000 0.000 0.000 1
Li2 0.178 0.500 0.349 1
Pu1 0.000 0.000 0.500 1
U1 0.165 0.500 0.836 1
N1 0.017 0.500 0.740 1
N2 0.164 0.000 0.619 1
N3 0.180 0.000 0.064 1

---

[2]
# Li4PuU3N8, optimized geometry, DFT GGA-PBE
# - E_form (uncorrected): -1.073 eV/atom
# - Total magnetization: 6.04 μB per formula unit
# - Theoretical density: 8.67 g cm⁻³
# - Raw total energy: -418.858 eV/cell
data_Li4PuU3N8
_chemical_formula_sum 'Li12 Pu3 U9 N24'
_cell_length_a 6.9710
_cell_length_b 6.9710
_cell_length_c 14.9898
_cell_angle_alpha 90.00
_cell_angle_beta 90.00
_cell_angle_gamma 120.00
_space_group_name_H-M_alt 'R -3 m'
_space_group_IT_number 166
_space_group_name_Hall '-R 3 2"'
loop_
_atom_site_label
_atom_site_fract_x
_atom_site_fract_y
_atom_site_fract_z
_atom_site_occupancy
Li1 0.0000 0.0000 0.0000 1
Li2 0.0000 0.5000 0.0000 1
Pu1 0.0000 0.0000 0.5000 1
U1 0.0000 0.5000 0.5000 1
N1 0.0000 0.0000 0.2379 1
N2 0.0172 0.5086 0.7653 1

---

[3]
# LiPuU2N5, optimized geometry, DFT GGA-PBE
# - E_form (uncorrected): -1.047 eV/atom
# - Total magnetization: 6.02 μB per formula unit
# - Theoretical density: 11.18 g cm⁻³
# - Raw total energy: -359.494 eV/cell
data_LiPuU2N5
_chemical_formula_sum 'Li4 Pu4 U8 N20'
_cell_length_a 3.474
_cell_length_b 12.957
_cell_length_c 10.522
_cell_angle_alpha 90.00
_cell_angle_beta 90.00
_cell_angle_gamma 90.00
_space_group_name_H-M_alt 'C m c 21'
_space_group_IT_number 36
loop_
_space_group_symop_operation_xyz
'x,y,z'
'-x,-y,z+1/2'
'-x,y,z'
'x,-y,z+1/2'
'x+1/2,y+1/2,z'
'-x+1/2,-y+1/2,z+1/2'
'-x+1/2,y+1/2,z'
'x+1/2,-y+1/2,z+1/2'
loop_
_atom_site_label
_atom_site_fract_x
_atom_site_fract_y
_atom_site_fract_z
_atom_site_occupancy
Li1 0.000 0.035 0.000 1
Pu1 0.000 0.357 0.920 1
U1 0.000 0.314 0.621 1
U2 0.000 0.414 0.237 1
N1 0.000 0.004 0.816 1
N2 0.000 0.149 0.597 1
N3 0.000 0.194 0.996 1
N4 0.000 0.226 0.255 1
N5 0.000 0.478 0.585 1

---

[4]
# Li3Pu2VN6, optimized geometry, DFT GGA-PBE
# - E_form (uncorrected): -0.807 eV/atom
# - Total magnetization: 6.00 μB per formula unit
# - Theoretical density: 7.79 g cm⁻³
# - Raw total energy: -206.322 eV/cell
data_Li3Pu2VN6
_chemical_formula_sum 'Li6 Pu4 V2 N12'
_cell_length_a 5.559
_cell_length_b 9.800
_cell_length_c 5.309
_cell_angle_alpha 90.00
_cell_angle_beta 108.25
_cell_angle_gamma 90.00
_space_group_name_H-M_alt 'C 1 2/m 1'
_space_group_IT_number 12
loop_
_space_group_symop_operation_xyz
'x,y,z'
'-x,-y,-z'
'-x,y,-z'
'x,-y,z'
'x+1/2,y+1/2,z'
'-x+1/2,-y+1/2,-z'
'-x+1/2,y+1/2,-z'
'x+1/2,-y+1/2,z'
loop_
_atom_site_label
_atom_site_fract_x
_atom_site_fract_y
_atom_site_fract_z
_atom_site_occupancy
Li1 0.000 0.000 0.000 1
Li2 0.000 0.360 0.000 1
Pu1 0.000 0.167 0.500 1
V1 0.000 0.500 0.500 1
N1 0.223 0.345 0.711 1
N2 0.249 0.000 0.714 1

---

[5]
# Li2PuVN4, optimized geometry, DFT GGA-PBE
# - E_form (uncorrected): -0.792 eV/atom
# - Total magnetization: 3.00 μB per formula unit
# - Theoretical density: 6.27 g cm⁻³
# - Raw total energy: -133.830 eV/cell
data_Li2PuVN4
_chemical_formula_sum 'Li4 Pu2 V2 N8'
_cell_length_a 4.177
_cell_length_b 7.023
_cell_length_c 6.587
_cell_angle_alpha 90.00
_cell_angle_beta 90.00
_cell_angle_gamma 90.00
_space_group_name_H-M_alt 'P m m n'
_space_group_IT_number 59
loop_
_space_group_symop_operation_xyz
'x,y,z'
'-x,-y,-z'
'-x+1/2,-y+1/2,z'
'x+1/2,y+1/2,-z'
'x+1/2,-y,-z'
'-x+1/2,y,z'
'-x,y+1/2,-z'
'x,-y+1/2,z'
loop_
_atom_site_label
_atom_site_fract_x
_atom_site_fract_y
_atom_site_fract_z
_atom_site_occupancy
Li1 0.250 0.029 0.144 1
Pu1 0.250 0.250 0.669 1
V1 0.250 0.750 0.688 1
N1 0.250 0.250 0.357 1
N2 0.250 0.531 0.827 1
N3 0.250 0.750 0.382 1

---

[6]
# LiPu2WN5, optimized geometry, DFT GGA-PBE
# - E_form (uncorrected): -0.748 eV/atom
# - Total magnetization: 7.35 μB per formula unit
# - Theoretical density: 12.17 g cm⁻³
# - Raw total energy: -367.558 eV/cell
data_LiPu2WN5
_chemical_formula_sum 'Li4 Pu8 W4 N20'
_cell_length_a 3.189
_cell_length_b 12.960
_cell_length_c 9.889
_cell_angle_alpha 90.00
_cell_angle_beta 90.00
_cell_angle_gamma 90.00
_space_group_name_H-M_alt 'C m c 21'
_space_group_IT_number 36
loop_
_space_group_symop_operation_xyz
'x,y,z'
'-x,-y,z+1/2'
'-x,y,z'
'x,-y,z+1/2'
'x+1/2,y+1/2,z'
'-x+1/2,-y+1/2,z+1/2'
'-x+1/2,y+1/2,z'
'x+1/2,-y+1/2,z+1/2'
loop_
_atom_site_label
_atom_site_fract_x
_atom_site_fract_y
_atom_site_fract_z
_atom_site_occupancy
Li1 0.000 0.021 0.000 1
Pu1 0.000 0.364 0.843 1
Pu2 0.000 0.391 0.218 1
W1 0.000 0.306 0.547 1
N1 0.000 0.009 0.304 1
N2 0.000 0.142 0.540 1
N3 0.000 0.189 0.907 1
N4 0.000 0.214 0.193 1
N5 0.000 0.444 0.600 1

---

[7]
# Li2PuWN4, optimized geometry, DFT GGA-PBE
# - E_form (uncorrected): -0.710 eV/atom
# - Total magnetization: 3.77 μB per formula unit
# - Theoretical density: 9.10 g cm⁻³
# - Raw total energy: -70.098 eV/cell
data_Li2PuWN4
_chemical_formula_sum 'Li2 Pu1 W1 N4'
_cell_length_a 5.455
_cell_length_b 3.173
_cell_length_c 5.594
_cell_angle_alpha 90.00
_cell_angle_beta 110.26
_cell_angle_gamma 90.00
_space_group_name_H-M_alt 'P 1 2/m 1'
_space_group_IT_number 10
loop_
_space_group_symop_operation_xyz
'x,y,z'
'-x,-y,-z'
'-x,y,-z'
'x,-y,z'
loop_
_atom_site_label
_atom_site_fract_x
_atom_site_fract_y
_atom_site_fract_z
_atom_site_occupancy
Li1 0.000 0.000 0.000 1
Li2 0.000 0.500 0.500 1
Pu1 0.500 0.000 0.500 1
W1 0.500 0.500 0.000 1
N1 0.281 0.500 0.231 1
N2 0.282 0.000 0.771 1

---

[8]
# Li4PuW3N8, optimized geometry, DFT GGA-PBE
# - E_form (uncorrected): -0.613 eV/atom
# - Total magnetization: 4.28 μB per formula unit
# - Theoretical density: 9.12 g cm⁻³
# - Raw total energy: -411.787 eV/cell
data_Li4PuW3N8
_chemical_formula_sum 'Li12 Pu3 W9 N24'
_cell_length_a 6.2004
_cell_length_b 6.2004
_cell_length_c 15.3502
_cell_angle_alpha 90.00
_cell_angle_beta 90.00
_cell_angle_gamma 120.00
_space_group_name_H-M_alt 'R -3 m'
_space_group_IT_number 166
_space_group_name_Hall '-R 3 2"'
loop_
_atom_site_label
_atom_site_fract_x
_atom_site_fract_y
_atom_site_fract_z
_atom_site_occupancy
Li1 0.0000 0.0000 0.0000 1
Li2 0.0000 0.5000 0.0000 1
Pu1 0.0000 0.0000 0.5000 1
W1 0.0000 0.5000 0.5000 1
N1 0.0000 0.0000 0.2417 1
N2 0.0169 0.5084 0.7597 1